No. 1
Below is a geometry-optimized MnZn3S4 structure, with properties calculated at the PBE-GGA level.

Cell: 6.430 6.805 7.864 Å, 90.00 90.00 90.00°
Each line ends with the local moment (μB).
Positions (direct):
Zn 0.485 0.824 0.000  0.03
Zn 0.985 0.662 0.245  0.02
Zn 0.485 0.338 0.255  0.02
Zn 0.985 0.176 0.500  0.03
Zn 0.485 0.338 0.745  0.02
Zn 0.985 0.662 0.755  0.02
Mn 0.160 0.165 0.000  4.21
Mn 0.660 0.835 0.500  4.21
S 0.114 0.816 0.000  0.03
S 0.558 0.164 0.000  0.07
S 0.114 0.340 0.260  0.04
S 0.614 0.660 0.240  0.04
S 0.058 0.836 0.500  0.07
S 0.614 0.184 0.500  0.03
S 0.614 0.660 0.760  0.04
S 0.114 0.340 0.740  0.04

Summary:
Fermi-level density of states = 0.00 states/eV per cell
Mass density = 3.7 g/cm³
Electronic total energy = -4.38 eV/atom

No. 2
Below is a geometry-optimized Mn2ZnS5 structure, with properties calculated at the PBE-GGA level.

Cell: 3.628 6.635 13.918 Å, 90.00 90.00 90.00°
Each line ends with the local moment (μB).
Positions (direct):
Mn 0.500 0.959 0.649  3.02
Mn 0.000 0.041 0.851  3.02
Mn 0.000 0.041 0.149  3.02
Mn 0.500 0.959 0.351  3.02
Zn 0.000 0.641 0.500  0.02
Zn 0.500 0.359 0.000  0.02
S 0.000 0.905 0.000  -0.06
S 0.500 0.095 0.500  -0.06
S 0.000 0.154 0.690  -0.10
S 0.500 0.846 0.810  -0.10
S 0.000 0.154 0.310  -0.10
S 0.500 0.846 0.190  -0.10
S 0.500 0.630 0.387  -0.10
S 0.000 0.370 0.113  -0.10
S 0.000 0.370 0.887  -0.10
S 0.500 0.630 0.613  -0.10

Summary:
Fermi-level density of states = 3.80 states/eV per cell
Mass density = 3.3 g/cm³
Electronic total energy = -5.37 eV/atom

No. 3
Below is a geometry-optimized MnZn3S structure, with properties calculated at the PBE-GGA level.

Cell: 4.700 4.700 4.700 Å, 90.00 90.00 90.00°
Each line ends with the local moment (μB).
Positions (direct):
Zn 0.000 0.500 0.000  0.00
Zn 0.000 0.000 0.500  0.00
Zn 0.500 0.000 0.000  -0.02
Mn 0.500 0.500 0.500  4.25
S 0.000 0.000 0.000  0.00

Summary:
Fermi-level density of states = 3.20 states/eV per cell
Mass density = 4.5 g/cm³
ΔE to the lowest computed polymorph = 0 meV/atom
Electronic total energy = -2.76 eV/atom

No. 4
Below is a geometry-optimized ZrMnZnS4 structure, with properties calculated at the PBE-GGA level.

Cell: 7.376 7.432 7.432 Å, 59.39 60.25 60.25°
Each line ends with the local moment (μB).
Positions (direct):
Zr 0.500 0.000 0.500  0.07
Zr 0.000 0.000 0.500  0.07
Mn 0.000 0.000 0.000  4.13
Mn 0.000 0.500 0.500  4.13
Zn 0.611 0.639 0.139  0.02
Zn 0.389 0.361 0.861  0.02
S 0.750 0.755 0.745  0.03
S 0.250 0.755 0.745  0.03
S 0.750 0.245 0.255  0.03
S 0.250 0.245 0.255  0.03
S 0.224 0.756 0.256  0.03
S 0.763 0.756 0.256  0.03
S 0.237 0.244 0.744  0.03
S 0.776 0.244 0.744  0.03

Summary:
Fermi-level density of states = 3.84 states/eV per cell
Mass density = 3.9 g/cm³
Electronic total energy = -6.06 eV/atom

No. 5
Below is a geometry-optimized ZrMnS4 structure, with properties calculated at the PBE-GGA level.

Cell: 6.507 6.028 6.222 Å, 90.00 96.32 90.00°
Each line ends with the local moment (μB).
Positions (direct):
Zr 0.000 0.000 0.000  0.19
Zr 0.500 0.500 0.000  0.19
Mn 0.500 0.000 0.500  4.12
Mn 0.000 0.500 0.500  4.12
S 0.854 0.631 0.144  0.01
S 0.646 0.131 0.856  0.01
S 0.410 0.391 0.395  0.03
S 0.090 0.891 0.605  0.03
S 0.146 0.369 0.856  0.01
S 0.354 0.869 0.144  0.01
S 0.590 0.609 0.605  0.03
S 0.910 0.109 0.395  0.03

Summary:
Fermi-level density of states = 1.73 states/eV per cell
Mass density = 3.8 g/cm³
Electronic total energy = -6.45 eV/atom

No. 6
Below is a geometry-optimized ZrMn2S structure, with properties calculated at the PBE-GGA level.

Cell: 7.153 7.153 5.666 Å, 50.86 50.86 90.00°
Each line ends with the local moment (μB).
Positions (direct):
S 0.500 0.500 0.000  -0.03
S 0.250 0.750 0.500  -0.03
Mn 0.547 0.125 0.250  2.84
Mn 0.203 0.625 0.250  2.84
Mn 0.375 0.453 0.750  2.84
Mn 0.875 0.797 0.750  2.84
Zr 0.000 0.000 0.000  -0.30
Zr 0.750 0.250 0.500  -0.30

Summary:
Fermi-level density of states = 7.21 states/eV per cell
Mass density = 5.9 g/cm³
Electronic total energy = -7.89 eV/atom

No. 7
Below is a geometry-optimized ZrMn3S structure, with properties calculated at the PBE-GGA level.

Cell: 4.128 4.128 4.128 Å, 90.00 90.00 90.00°
Each line ends with the local moment (μB).
Positions (direct):
S 0.000 0.000 0.000  -0.01
Mn 0.000 0.500 0.000  0.14
Mn 0.000 0.000 0.500  0.17
Mn 0.500 0.000 0.000  0.10
Zr 0.500 0.500 0.500  -0.05

Summary:
Fermi-level density of states = 4.45 states/eV per cell
Mass density = 6.8 g/cm³
ΔE to the lowest computed polymorph = 0 meV/atom
Electronic total energy = -8.03 eV/atom

No. 8
Below is a geometry-optimized ZrMn3S structure, with properties calculated at the PBE-GGA level.

Cell: 4.831 4.831 4.831 Å, 90.00 90.00 90.00°
Each line ends with the local moment (μB).
Positions (direct):
S 0.500 0.500 0.500  0.04
Mn 0.000 0.500 0.000  3.30
Mn 0.000 0.000 0.500  3.09
Mn 0.500 0.000 0.000  3.74
Zr 0.000 0.000 0.000  -0.95

Summary:
Fermi-level density of states = 7.31 states/eV per cell
Mass density = 4.2 g/cm³
ΔE to the lowest computed polymorph = 1508 meV/atom
Electronic total energy = -6.52 eV/atom

No. 9
Below is a geometry-optimized Zr2MnS4 structure, with properties calculated at the PBE-GGA level.

Cell: 7.474 7.474 7.476 Å, 59.99 59.99 89.95°
Each line ends with the local moment (μB).
Positions (direct):
Zr 0.500 0.500 0.500  -0.08
Zr 0.500 0.000 0.500  -0.07
Zr 0.000 0.000 0.000  -0.08
Zr 0.500 0.000 0.000  -0.07
Mn 0.875 0.625 0.750  3.90
Mn 0.125 0.375 0.250  3.90
S 0.253 0.759 0.994  0.00
S 0.747 0.241 0.006  0.00
S 0.259 0.753 0.494  0.00
S 0.253 0.247 0.506  0.00
S 0.253 0.247 0.994  0.00
S 0.747 0.753 0.494  0.00
S 0.741 0.247 0.506  0.00
S 0.747 0.753 0.006  0.00

Summary:
Fermi-level density of states = 7.43 states/eV per cell
Mass density = 4.1 g/cm³
Electronic total energy = -7.39 eV/atom

No. 10
Below is a geometry-optimized ZrMnS structure, with properties calculated at the PBE-GGA level.

Cell: 3.655 3.655 10.819 Å, 80.28 80.28 60.00°
Positions (direct):
Zr 0.567 0.567 0.300
Zr 0.433 0.433 0.700
S 0.278 0.278 0.166
S 0.722 0.722 0.834
Mn 0.837 0.837 0.490
Mn 0.163 0.163 0.510

Summary:
Fermi-level density of states = 2.09 states/eV per cell
Mass density = 4.8 g/cm³
Electronic total energy = -8.01 eV/atom

No. 11
Below is a geometry-optimized Zr2MnS2 structure, with properties calculated at the PBE-GGA level.

Cell: 6.962 6.962 3.409 Å, 90.00 90.00 90.00°
Each line ends with the local moment (μB).
Positions (direct):
S 0.352 0.852 0.000  0.02
S 0.852 0.648 0.000  0.02
S 0.648 0.148 0.000  0.02
S 0.148 0.352 0.000  0.02
Mn 0.000 0.000 0.000  3.14
Mn 0.500 0.500 0.000  3.14
Zr 0.158 0.658 0.500  -0.16
Zr 0.658 0.842 0.500  -0.16
Zr 0.842 0.342 0.500  -0.16
Zr 0.342 0.158 0.500  -0.16

Summary:
Fermi-level density of states = 5.07 states/eV per cell
Mass density = 6.1 g/cm³
Electronic total energy = -7.81 eV/atom

No. 12
Below is a geometry-optimized Zr2MnS6 structure, with properties calculated at the PBE-GGA level.

Cell: 5.956 5.956 10.959 Å, 90.00 90.00 90.00°
Each line ends with the local moment (μB).
Positions (direct):
Zr 0.000 0.000 0.335  0.06
Zr 0.500 0.500 0.835  0.06
Zr 0.500 0.500 0.165  0.06
Zr 0.000 0.000 0.665  0.06
Mn 0.000 0.000 0.000  3.01
Mn 0.500 0.500 0.500  3.01
S 0.310 0.310 0.344  -0.01
S 0.690 0.690 0.344  -0.01
S 0.190 0.810 0.844  -0.01
S 0.810 0.190 0.844  -0.01
S 0.190 0.810 0.156  -0.01
S 0.810 0.190 0.156  -0.01
S 0.310 0.310 0.656  -0.01
S 0.690 0.690 0.656  -0.01
S 0.290 0.290 0.000  -0.02
S 0.710 0.710 0.000  -0.02
S 0.210 0.790 0.500  -0.02
S 0.790 0.210 0.500  -0.02

Summary:
Fermi-level density of states = 4.36 states/eV per cell
Mass density = 3.7 g/cm³
Electronic total energy = -6.67 eV/atom

No. 13
Below is a geometry-optimized Zr3Mn3S8 structure, with properties calculated at the PBE-GGA level.

Cell: 7.533 7.533 7.533 Å, 59.03 59.03 59.03°
Each line ends with the local moment (μB).
Positions (direct):
Zr 0.500 0.000 0.000  -0.06
Zr 0.000 0.500 0.000  -0.06
Zr 0.000 0.000 0.500  -0.06
Mn 0.376 0.376 0.376  4.05
Mn 0.624 0.624 0.624  4.05
Mn 0.000 0.000 0.000  4.24
S 0.752 0.752 0.752  0.01
S 0.234 0.756 0.756  0.04
S 0.756 0.234 0.756  0.04
S 0.756 0.756 0.234  0.04
S 0.248 0.248 0.248  0.01
S 0.766 0.244 0.244  0.04
S 0.244 0.766 0.244  0.04
S 0.244 0.244 0.766  0.04

Summary:
Fermi-level density of states = 4.72 states/eV per cell
Mass density = 3.9 g/cm³
Electronic total energy = -7.27 eV/atom

No. 14
Below is a geometry-optimized Zr3MnS6 structure, with properties calculated at the PBE-GGA level.

Cell: 6.205 8.022 8.022 Å, 101.20 90.00 90.00°
Each line ends with the local moment (μB).
Positions (direct):
Zr 0.489 0.925 0.729  -0.20
Zr 0.989 0.729 0.925  -0.20
Zr 0.375 0.404 0.596  -0.15
Zr 0.875 0.596 0.404  -0.15
Zr 0.989 0.075 0.271  -0.20
Zr 0.489 0.271 0.075  -0.20
Mn 0.017 0.204 0.796  3.70
Mn 0.517 0.796 0.204  3.70
S 0.180 0.702 0.626  0.01
S 0.680 0.626 0.702  0.01
S 0.217 0.449 0.901  0.03
S 0.717 0.901 0.449  0.03
S 0.177 0.034 0.966  0.03
S 0.646 0.229 0.771  0.01
S 0.146 0.771 0.229  0.01
S 0.677 0.966 0.034  0.03
S 0.217 0.099 0.551  0.03
S 0.717 0.551 0.099  0.03
S 0.180 0.374 0.298  0.01
S 0.680 0.298 0.374  0.01

Summary:
Fermi-level density of states = 7.17 states/eV per cell
Mass density = 4.4 g/cm³
ΔE to the lowest computed polymorph = 0 meV/atom
Electronic total energy = -7.26 eV/atom

No. 15
Below is a geometry-optimized Zr3MnS6 structure, with properties calculated at the PBE-GGA level.

Cell: 7.463 7.463 7.463 Å, 88.66 88.66 88.66°
Each line ends with the local moment (μB).
Positions (direct):
Zr 0.419 0.926 0.782  0.01
Zr 0.926 0.782 0.419  0.01
Zr 0.218 0.581 0.074  0.01
Zr 0.782 0.419 0.926  0.01
Zr 0.074 0.218 0.581  0.01
Zr 0.581 0.074 0.218  0.01
Mn 0.000 0.000 0.000  3.73
Mn 0.500 0.500 0.500  4.10
S 0.305 0.915 0.115  0.01
S 0.085 0.885 0.695  0.01
S 0.592 0.820 0.465  0.02
S 0.885 0.695 0.085  0.01
S 0.465 0.592 0.820  0.02
S 0.180 0.535 0.408  0.02
S 0.820 0.465 0.592  0.02
S 0.535 0.408 0.180  0.02
S 0.115 0.305 0.915  0.01
S 0.408 0.180 0.535  0.02
S 0.915 0.115 0.305  0.01
S 0.695 0.085 0.885  0.01

Summary:
Fermi-level density of states = 7.34 states/eV per cell
Mass density = 4.2 g/cm³
ΔE to the lowest computed polymorph = 60 meV/atom
Electronic total energy = -7.20 eV/atom

No. 16
Below is a geometry-optimized MnSb2 structure, with properties calculated at the PBE-GGA level.

Cell: 6.162 6.162 6.162 Å, 60.00 60.00 60.00°
Each line ends with the local moment (μB).
Positions (direct):
Mn 0.500 0.500 0.500  4.29
Mn 0.750 0.750 0.750  4.29
Sb 0.625 0.125 0.125  0.02
Sb 0.125 0.625 0.125  0.02
Sb 0.125 0.125 0.625  0.02
Sb 0.125 0.125 0.125  0.02

Summary:
Fermi-level density of states = 4.89 states/eV per cell
Mass density = 6.0 g/cm³
Electronic total energy = -5.01 eV/atom

No. 17
Below is a geometry-optimized MnSb2 structure, with properties calculated at the PBE-GGA level.

Cell: 4.656 4.656 4.656 Å, 60.00 60.00 60.00°
Each line ends with the local moment (μB).
Positions (direct):
Mn 0.000 0.000 0.000  3.02
Sb 0.750 0.750 0.750  -0.07
Sb 0.250 0.250 0.250  -0.07

Summary:
Fermi-level density of states = 1.85 states/eV per cell
Mass density = 6.9 g/cm³
Electronic total energy = -5.67 eV/atom

No. 18
Below is a geometry-optimized Mn4Sb structure, with properties calculated at the PBE-GGA level.

Cell: 4.576 4.576 4.576 Å, 99.58 99.58 131.84°
Each line ends with the local moment (μB).
Positions (direct):
Mn 0.184 0.589 0.773  1.39
Mn 0.589 0.816 0.405  1.39
Mn 0.816 0.411 0.227  1.39
Mn 0.411 0.184 0.595  1.39
Sb 0.000 0.000 0.000  -0.06

Summary:
Fermi-level density of states = 4.55 states/eV per cell
Mass density = 8.7 g/cm³
ΔE to the lowest computed polymorph = 0 meV/atom
Electronic total energy = -7.97 eV/atom

No. 19
Below is a geometry-optimized MnSb2 structure, with properties calculated at the PBE-GGA level.

Cell: 4.778 4.778 3.237 Å, 90.00 90.00 90.00°
Each line ends with the local moment (μB).
Positions (direct):
Mn 0.000 0.000 0.000  3.49
Sb 0.000 0.500 0.500  -0.01
Sb 0.500 0.000 0.500  -0.01

Summary:
Fermi-level density of states = 1.85 states/eV per cell
Mass density = 6.7 g/cm³
Electronic total energy = -5.54 eV/atom

No. 20
Below is a geometry-optimized MnSb2 structure, with properties calculated at the PBE-GGA level.

Cell: 13.083 13.083 13.083 Å, 166.09 166.09 19.72°
Positions (direct):
Mn 0.250 0.750 0.500
Mn 0.500 0.500 0.000
Sb 0.811 0.311 0.500
Sb 0.939 0.939 0.000
Sb 0.689 0.189 0.500
Sb 0.061 0.061 0.000

Summary:
Fermi-level density of states = 5.39 states/eV per cell
Mass density = 7.7 g/cm³
Electronic total energy = -5.59 eV/atom